A plane-wave DFT calculation with PBE-GGA was carried out for crystalline Mg2SiIr at its relaxed geometry.

Unit cell a=2.9892 b=2.9892 c=7.8206 alpha=90.00 beta=90.00 gamma=90.00
Last column: nearest neighbours and their distance in Å.
Space group P4mm (No. 99)
Asymmetric unit:
Mg (0.0000, 0.0000, 0.0000) [1 per cell]  4 Ir 2.85, 4 Mg 2.99, 1 Si 3.19
Mg (0.5000, 0.5000, 0.3375) [1 per cell]  4 Si 2.90, 4 Mg 2.99
Si (0.0000, 0.0000, 0.5918) [1 per cell]  4 Ir 2.47
Ir (0.5000, 0.5000, 0.7554) [1 per cell]  4 Si 2.47

Calculated values
- Total DFT energy (no corrections): -18.72 eV per cell

---

A plane-wave DFT calculation with PBE-GGA was carried out for crystalline Mg2SiIr at its relaxed geometry.

Unit cell a=5.3597 b=7.8409 c=3.0044 alpha=90.00 beta=90.00 gamma=90.00
Last column: nearest neighbours and their distance in Å.
Space group Cmmm (No. 65)
Asymmetric unit:
Mg (0.2500, 0.2500, 0.0000) [4 per cell]  2 Mg 2.68, 4 Si 2.81, 4 Ir 2.81
Si (0.0000, 0.0000, 0.5000) [2 per cell]  2 Ir 2.68, 8 Mg 2.81
Ir (0.0000, 0.5000, 0.5000) [2 per cell]  2 Si 2.68, 8 Mg 2.81

Calculated values
- Total DFT energy (no corrections): -36.46 eV per cell

---

What energy relative to the elements, uncorrected values result from the calculations? In sequence: -0.31; -0.19 eV per atom.